Below is FeNiIr2 after structural relaxation, with properties calculated at the PBE level.

Properties
E above lowest polymorph (kJ/mol of atoms): 3.2
ρ (g/cm³): 15.8
Density of states at the Fermi level (states/eV/f.u.): 5.56
ΔE_f (kJ per mole of atoms): -0.74

Unit cell a=4.601 b=4.601 c=4.487 alpha=80.03 beta=80.03 gamma=34.04
Positions (direct):
1 Fe 0.250 0.250 0.259
2 Ni 0.501 0.501 0.492
3 Ir 0.749 0.749 0.754
4 Ir 0.000 0.000 0.995